Below is an optimized crystal structure of CSe2Br, with properties calculated at the PBE level. Values from VASP.

Structure (Quantum ESPRESSO input):
```
&SYSTEM
  ibrav = 0, nat = 4, ntyp = 3
/
ATOMIC_SPECIES
C 12.01 C.upf
Se 78.96 Se.upf
Br 79.90 Br.upf
CELL_PARAMETERS angstrom
0.000 3.323 3.323
3.323 0.000 3.323
3.323 3.323 0.000
ATOMIC_POSITIONS crystal
C 0.000 0.000 0.000
Se 0.250 0.250 0.250
Se 0.750 0.750 0.750
Br 0.500 0.500 0.500
```

Calculated values
Crystal system ... cubic
Space-group type ... Fm-3m, No. 225
Distance to the lowest polymorph of the same formula ... 1.395 eV/atom
Fermi-level density of states ... 4.16 states/eV/cell

---

Below is an optimized crystal structure of Ac3LaRu, with properties calculated at the PBE level. Values from VASP.

Structure (Quantum ESPRESSO input):
```
&SYSTEM
  ibrav = 0, nat = 10, ntyp = 3
/
ATOMIC_SPECIES
Ac 227.00 Ac.upf
La 138.91 La.upf
Ru 101.07 Ru.upf
CELL_PARAMETERS angstrom
6.296 -4.766 0.000
6.296 4.766 0.000
-6.257 0.000 6.380
ATOMIC_POSITIONS crystal
Ac 0.044 0.044 0.253
Ac 0.046 0.458 0.789
Ac 0.458 0.046 0.789
Ac 0.542 0.954 0.211
Ac 0.954 0.542 0.211
Ac 0.956 0.956 0.747
La 0.466 0.466 0.669
La 0.534 0.534 0.331
Ru 0.262 0.262 0.153
Ru 0.738 0.738 0.847
```

Calculated values
Crystal system ... monoclinic
Space-group type ... C2/m, No. 12
Distance to the lowest polymorph of the same formula ... 0.000 eV/atom
Fermi-level density of states ... 10.71 states/eV/cell
Energy relative to the elements ... -0.17 eV/atom

---

Below is an optimized crystal structure of ScTi2N, with properties calculated at the PBE level. Values from VASP.

Structure (Quantum ESPRESSO input):
```
&SYSTEM
  ibrav = 0, nat = 4, ntyp = 3
/
ATOMIC_SPECIES
Sc 44.96 Sc.upf
Ti 47.87 Ti.upf
N 14.01 N.upf
CELL_PARAMETERS angstrom
2.298 -4.347 0.000
2.298 4.347 0.000
-0.004 0.000 3.053
ATOMIC_POSITIONS crystal
Sc 0.000 0.000 0.000
Ti 0.341 0.659 0.500
Ti 0.659 0.341 0.500
N 0.500 0.500 0.000
```

Calculated values
Crystal system ... monoclinic
Space-group type ... C2/m, No. 12
Fermi-level density of states ... 4.77 states/eV/cell
E_tot ... -34.14 eV/f.u.

---

Below is an optimized crystal structure of BeInRh2, with properties calculated at the PBE level. Values from VASP.

Structure (Quantum ESPRESSO input):
```
&SYSTEM
  ibrav = 0, nat = 4, ntyp = 3
/
ATOMIC_SPECIES
Be 9.01 Be.upf
In 114.82 In.upf
Rh 102.91 Rh.upf
CELL_PARAMETERS angstrom
2.783 -4.177 0.000
2.783 4.177 0.000
-1.216 0.000 2.570
ATOMIC_POSITIONS crystal
Be 0.000 0.000 0.000
In 0.500 0.500 0.000
Rh 0.000 0.500 0.500
Rh 0.500 0.000 0.500
```

Calculated values
Crystal system ... monoclinic
Space-group type ... C2/m, No. 12
Fermi-level density of states ... 2.11 states/eV/cell
Energy relative to the elements ... 0.01 eV/atom

---

Below is an optimized crystal structure of Nd12Re5C15, with properties calculated at the PBE level. Values from VASP.

Structure (Quantum ESPRESSO input):
```
&SYSTEM
  ibrav = 0, nat = 32, ntyp = 3
/
ATOMIC_SPECIES
Nd 144.24 Nd.upf
Re 186.21 Re.upf
C 12.01 C.upf
CELL_PARAMETERS angstrom
11.032 0.000 0.000
-5.516 9.554 0.000
0.000 0.000 5.353
ATOMIC_POSITIONS crystal
Nd 0.000 0.424 0.000
Nd 0.000 0.794 0.000
Nd 0.187 0.729 0.500
Nd 0.206 0.206 0.000
Nd 0.271 0.457 0.500
Nd 0.424 0.000 0.000
Nd 0.457 0.271 0.500
Nd 0.543 0.813 0.500
Nd 0.576 0.576 0.000
Nd 0.729 0.187 0.500
Nd 0.794 0.000 0.000
Nd 0.813 0.543 0.500
Re 0.000 0.152 0.500
Re 0.152 0.000 0.500
Re 0.333 0.667 0.000
Re 0.667 0.333 0.000
Re 0.848 0.848 0.500
C 0.000 0.328 0.500
C 0.000 0.451 0.500
C 0.000 0.793 0.500
C 0.189 0.714 0.000
C 0.207 0.207 0.500
C 0.286 0.475 0.000
C 0.328 0.000 0.500
C 0.451 0.000 0.500
C 0.475 0.286 0.000
C 0.525 0.811 0.000
C 0.549 0.549 0.500
C 0.672 0.672 0.500
C 0.714 0.189 0.000
C 0.793 0.000 0.500
C 0.811 0.525 0.000
```

Calculated values
Crystal system ... hexagonal
Space-group type ... P-62m, No. 189
Fermi-level density of states ... 7.35 states/eV/cell
Energy relative to the elements ... -0.25 eV/atom

---

Below is an optimized crystal structure of LiSb2Cl, with properties calculated at the PBE level. Values from VASP.

Structure (Quantum ESPRESSO input):
```
&SYSTEM
  ibrav = 0, nat = 4, ntyp = 3
/
ATOMIC_SPECIES
Li 6.94 Li.upf
Sb 121.76 Sb.upf
Cl 35.45 Cl.upf
CELL_PARAMETERS angstrom
3.599 0.000 0.000
0.000 3.599 0.000
0.000 0.000 9.753
ATOMIC_POSITIONS crystal
Li 0.000 0.000 0.000
Sb 0.000 0.000 0.640
Sb 0.500 0.500 0.476
Cl 0.500 0.500 0.006
```

Calculated values
Crystal system ... tetragonal
Space-group type ... P4mm, No. 99
Distance to the lowest polymorph of the same formula ... 0.138 eV/atom
Fermi-level density of states ... 1.19 states/eV/cell